(1)
A plane-wave DFT calculation with SCAN was carried out for a PBEsol-optimized structure of BaCuAg.

Unit cell a=4.378 b=4.551 c=4.551 alpha=120.00 beta=90.00 gamma=90.00
Fractional positions:
Cu  0.500  0.667  0.333
Ag  0.500  0.000  0.000
Ba  0.000  0.333  0.667

Results
Space group: P-6m2 (187)
Uncorrected energy, eV per atom: -28.817
Energy relative to the elements, eV per atom: -0.112



(2)
A plane-wave DFT calculation with SCAN was carried out for a PBEsol-optimized structure of CrH2Au.

Unit cell a=4.101 b=4.101 c=5.333 alpha=112.61 beta=112.61 gamma=90.00
Fractional positions:
H  0.625  0.562  0.750
H  0.438  0.875  0.250
H  0.812  0.375  0.250
H  0.125  0.188  0.750
Au  0.250  0.750  0.500
Au  0.000  0.000  0.000
Cr  0.500  0.500  0.000
Cr  0.750  0.250  0.500

Results
Space group: I-42d (122)
Uncorrected energy, eV per atom: -23.364



(3)
A plane-wave DFT calculation with SCAN was carried out for a PBEsol-optimized structure of K2AlCd.

Unit cell a=3.468 b=3.468 c=10.747 alpha=90.00 beta=90.00 gamma=90.00
Fractional positions:
Al  0.500  0.500  0.000
K  0.000  0.000  0.247
K  0.000  0.000  0.753
Cd  0.500  0.500  0.500

Results
Space group: P4/mmm (123)
Uncorrected energy, eV per atom: -13.411
Energy relative to the elements, eV per atom: 0.295
Offset from the most stable computed form, meV per atom: 165



(4)
A plane-wave DFT calculation with SCAN was carried out for a PBEsol-optimized structure of Ca2YCu.

Unit cell a=3.579 b=5.254 c=6.721 alpha=113.01 beta=105.44 gamma=90.00
Fractional positions:
Ca  0.191  0.191  0.382
Ca  0.809  0.809  0.618
Cu  0.500  0.000  0.000
Y  0.000  0.500  0.000

Results
Space group: Immm (71)
Uncorrected energy, eV per atom: -15.532
Energy relative to the elements, eV per atom: 0.060
Offset from the most stable computed form, meV per atom: 125



(5)
A plane-wave DFT calculation with SCAN was carried out for a PBEsol-optimized structure of Na3MnIr.

Unit cell a=5.129 b=5.129 c=5.129 alpha=90.00 beta=90.00 gamma=90.00
Fractional positions:
Mn  0.000  0.000  0.000
Na  0.500  0.000  0.000
Na  0.000  0.000  0.500
Na  0.000  0.500  0.000
Ir  0.500  0.500  0.500

Results
Space group: Pm-3m (221)
Uncorrected energy, eV per atom: -18.885
Energy relative to the elements, eV per atom: 1.515



(6)
A plane-wave DFT calculation with SCAN was carried out for a PBEsol-optimized structure of SrCrS2Cl.

Unit cell a=4.680 b=4.680 c=4.694 alpha=90.00 beta=90.00 gamma=90.00
Fractional positions:
S  0.500  0.000  0.000
S  0.000  0.500  0.000
Cl  0.000  0.000  0.500
Cr  0.000  0.000  0.000
Sr  0.500  0.500  0.500

Results
Space group: P4/mmm (123)
Uncorrected energy, eV per atom: -15.126
Energy relative to the elements, uncorrected, eV/atom: -1.5477